Computed, not measured: a relaxed structure of CsAcV2O6 at the PBE with a Hubbard U level of DFT.

Magnetization (μB per cell): 4.00
VASP energy (Ha/atom): -0.268

The structure in POSCAR format:
```
CsAcV2O6
1.0
5.629 -5.481 0.000
5.629 5.481 0.000
-1.359 0.000 6.125
Cs Ac V O
2 2 4 12
direct
0.170 0.830 0.750
0.830 0.170 0.250
0.387 0.613 0.250
0.613 0.387 0.750
0.140 0.301 0.799
0.301 0.140 0.299
0.699 0.860 0.701
0.860 0.699 0.201
0.073 0.630 0.266
0.162 0.189 0.043
0.189 0.162 0.543
0.318 0.455 0.870
0.370 0.927 0.234
0.455 0.318 0.370
0.545 0.682 0.630
0.630 0.073 0.766
0.682 0.545 0.130
0.811 0.838 0.457
0.838 0.811 0.957
0.927 0.370 0.734
```